No. 1
The following is a DFT calculation (PBE-GGA) of an optimized crystal structure of K2HgHI.

Cell and atoms, written as CIF:
```
data_K2HgHI
_space_group_name_H-M_alt 'P 4/m m m'
_space_group_IT_number 123
_space_group_name_Hall '-P 4 2'
_cell_length_a 5.493
_cell_length_b 5.493
_cell_length_c 5.333
_cell_angle_alpha 90.00
_cell_angle_beta 90.00
_cell_angle_gamma 90.00
loop_
_atom_site_label
_atom_site_type_symbol
_atom_site_fract_x
_atom_site_fract_y
_atom_site_fract_z
K1 K 0.000 0.500 0.000
Hg1 Hg 0.000 0.000 0.500
H1 H 0.000 0.000 0.000
I1 I 0.500 0.500 0.500
```

## Properties
**Crystal system**: tetragonal
**VASP energy**: -10.14 eV for the cell shown
**Calculated volume**: 32.2 Å³ per atom
**DOS(E_F)**: 0.0447 states/eV/atom

No. 2
The following is a DFT calculation (PBE-GGA) of an optimized crystal structure of KHgH2I3O.

Cell and atoms, written as CIF:
```
data_KHgH2I3O
_space_group_name_H-M_alt 'P n a 21'
_space_group_IT_number 33
_cell_length_a 8.859
_cell_length_b 9.476
_cell_length_c 12.130
_cell_angle_alpha 90.00
_cell_angle_beta 90.00
_cell_angle_gamma 90.00
loop_
_space_group_symop_operation_xyz
'x,y,z'
'-x,-y,z+1/2'
'-x+1/2,y+1/2,z+1/2'
'x+1/2,-y+1/2,z'
loop_
_atom_site_label
_atom_site_type_symbol
_atom_site_fract_x
_atom_site_fract_y
_atom_site_fract_z
K1 K 0.040 0.176 0.000
Hg1 Hg 0.238 0.692 0.855
H1 H 0.121 0.506 0.508
H2 H 0.151 0.560 0.390
I1 I 0.000 0.233 0.509
I2 I 0.234 0.411 0.200
I3 I 0.248 0.410 0.794
O1 O 0.156 0.590 0.468
```

## Properties
**Crystal system**: orthorhombic
**VASP energy**: -98.81 eV for the cell shown
**Calculated volume**: 31.8 Å³ per atom
**DOS(E_F)**: 0.0000 states/eV/atom

No. 3
The following is a DFT calculation (PBE-GGA) of an optimized crystal structure of HgHI2N.

Cell and atoms, written as CIF:
```
data_HgHI2N
_space_group_name_H-M_alt 'P 4/m m m'
_space_group_IT_number 123
_space_group_name_Hall '-P 4 2'
_cell_length_a 6.165
_cell_length_b 6.165
_cell_length_c 4.218
_cell_angle_alpha 90.00
_cell_angle_beta 90.00
_cell_angle_gamma 90.00
loop_
_atom_site_label
_atom_site_type_symbol
_atom_site_fract_x
_atom_site_fract_y
_atom_site_fract_z
Hg1 Hg 0.000 0.000 0.000
H1 H 0.500 0.500 0.500
I1 I 0.000 0.500 0.000
N1 N 0.000 0.000 0.500
```

## Properties
**Energy above the most stable polymorph in this dataset**: 0.485 eV/atom
**Crystal system**: tetragonal
**Calculated volume**: 32.1 Å³ per atom
**DOS(E_F)**: 0.9967 states/eV/atom

No. 4
The following is a DFT calculation (PBE-GGA) of an optimized crystal structure of HgHI2N.

Cell and atoms, written as CIF:
```
data_HgHI2N
_space_group_name_H-M_alt 'P 4/m m m'
_space_group_IT_number 123
_space_group_name_Hall '-P 4 2'
_cell_length_a 7.461
_cell_length_b 7.461
_cell_length_c 2.862
_cell_angle_alpha 90.00
_cell_angle_beta 90.00
_cell_angle_gamma 90.00
loop_
_atom_site_label
_atom_site_type_symbol
_atom_site_fract_x
_atom_site_fract_y
_atom_site_fract_z
Hg1 Hg 0.000 0.000 0.000
H1 H 0.500 0.500 0.500
I1 I 0.000 0.500 0.500
N1 N 0.500 0.500 0.000
```

## Properties
**Energy above the most stable polymorph in this dataset**: 0.000 eV/atom
**Crystal system**: tetragonal
**Calculated volume**: 31.9 Å³ per atom
**DOS(E_F)**: 0.4499 states/eV/atom

No. 5
The following is a DFT calculation (PBE-GGA) of an optimized crystal structure of HgH6I3NO.

Cell and atoms, written as CIF:
```
data_HgH6I3NO
_space_group_name_H-M_alt 'C 1 c 1'
_space_group_IT_number 9
_cell_length_a 12.022
_cell_length_b 10.202
_cell_length_c 8.941
_cell_angle_alpha 90.00
_cell_angle_beta 90.64
_cell_angle_gamma 90.00
loop_
_space_group_symop_operation_xyz
'x,y,z'
'x,-y,z+1/2'
'x+1/2,y+1/2,z'
'x+1/2,-y+1/2,z+1/2'
loop_
_atom_site_label
_atom_site_type_symbol
_atom_site_fract_x
_atom_site_fract_y
_atom_site_fract_z
Hg1 Hg 0.000 0.035 0.000
H1 H 0.000 0.440 0.807
H2 H 0.001 0.437 0.201
H3 H 0.062 0.275 0.507
H4 H 0.111 0.405 0.411
H5 H 0.111 0.405 0.602
H6 H 0.201 0.305 0.508
I1 I 0.154 0.001 0.753
I2 I 0.349 0.328 0.000
I3 I 0.407 0.210 0.502
N1 N 0.123 0.347 0.507
O1 O 0.050 0.499 0.255
```

## Properties
**Crystal system**: monoclinic
**VASP energy**: -181.22 eV for the cell shown
**Calculated volume**: 22.8 Å³ per atom
**DOS(E_F)**: 0.0000 states/eV/atom

No. 6
The following is a DFT calculation (PBE-GGA) of an optimized crystal structure of NaHgHI2.

Cell and atoms, written as CIF:
```
data_NaHgHI2
_space_group_name_H-M_alt 'P 4/m m m'
_space_group_IT_number 123
_space_group_name_Hall '-P 4 2'
_cell_length_a 6.393
_cell_length_b 6.393
_cell_length_c 3.628
_cell_angle_alpha 90.00
_cell_angle_beta 90.00
_cell_angle_gamma 90.00
loop_
_atom_site_label
_atom_site_type_symbol
_atom_site_fract_x
_atom_site_fract_y
_atom_site_fract_z
Na1 Na 0.000 0.000 0.000
Hg1 Hg 0.500 0.500 0.000
H1 H 0.500 0.500 0.500
I1 I 0.000 0.500 0.500
```

## Properties
**Crystal system**: tetragonal
**VASP energy**: -9.28 eV for the cell shown
**Calculated volume**: 29.7 Å³ per atom
**DOS(E_F)**: 0.3379 states/eV/atom

No. 7
The following is a DFT calculation (PBE-GGA) of an optimized crystal structure of HgHIO.

Cell and atoms, written as CIF:
```
data_HgHIO
_space_group_name_H-M_alt 'P 1'
_space_group_IT_number 1
_cell_length_a 4.267
_cell_length_b 4.442
_cell_length_c 6.248
_cell_angle_alpha 82.61
_cell_angle_beta 76.26
_cell_angle_gamma 67.45
loop_
_space_group_symop_operation_xyz
'x,y,z'
loop_
_atom_site_label
_atom_site_type_symbol
_atom_site_fract_x
_atom_site_fract_y
_atom_site_fract_z
Hg1 Hg 0.000 0.000 0.000
H1 H 0.623 0.868 0.346
I1 I 0.343 0.297 0.699
O1 O 0.693 0.769 0.202
```

## Properties
**Crystal system**: triclinic
**VASP energy**: -12.15 eV for the cell shown
**Calculated volume**: 26.5 Å³ per atom
**DOS(E_F)**: 0.0000 states/eV/atom

No. 8
The following is a DFT calculation (PBE-GGA) of an optimized crystal structure of HgP2H6I.

Cell and atoms, written as CIF:
```
data_HgP2H6I
_space_group_name_H-M_alt 'C 1 2/c 1'
_space_group_IT_number 15
_cell_length_a 10.559
_cell_length_b 9.553
_cell_length_c 7.196
_cell_angle_alpha 90.00
_cell_angle_beta 95.72
_cell_angle_gamma 90.00
loop_
_space_group_symop_operation_xyz
'x,y,z'
'-x,-y,-z'
'-x,y,-z+1/2'
'x,-y,z+1/2'
'x+1/2,y+1/2,z'
'-x+1/2,-y+1/2,-z'
'-x+1/2,y+1/2,-z+1/2'
'x+1/2,-y+1/2,z+1/2'
loop_
_atom_site_label
_atom_site_type_symbol
_atom_site_fract_x
_atom_site_fract_y
_atom_site_fract_z
Hg1 Hg 0.000 0.033 0.250
P1 P 0.213 0.392 0.240
H1 H 0.109 0.296 0.232
H2 H 0.190 0.213 0.789
H3 H 0.236 0.390 0.438
I1 I 0.000 0.371 0.750
```

## Properties
**Crystal system**: monoclinic
**VASP energy**: -129.16 eV for the cell shown
**Calculated volume**: 18.1 Å³ per atom
**DOS(E_F)**: 0.1005 states/eV/atom

No. 9
The following is a DFT calculation (PBE-GGA) of an optimized crystal structure of HgHPtI2.

Cell and atoms, written as CIF:
```
data_HgHPtI2
_space_group_name_H-M_alt 'P 4/m m m'
_space_group_IT_number 123
_space_group_name_Hall '-P 4 2'
_cell_length_a 5.889
_cell_length_b 5.889
_cell_length_c 3.530
_cell_angle_alpha 90.00
_cell_angle_beta 90.00
_cell_angle_gamma 90.00
loop_
_atom_site_label
_atom_site_type_symbol
_atom_site_fract_x
_atom_site_fract_y
_atom_site_fract_z
Hg1 Hg 0.000 0.000 0.000
H1 H 0.000 0.000 0.500
Pt1 Pt 0.500 0.500 0.500
I1 I 0.000 0.500 0.000
```

## Properties
**Crystal system**: tetragonal
**VASP energy**: -9.50 eV for the cell shown
**Calculated volume**: 24.5 Å³ per atom
**DOS(E_F)**: 1.0974 states/eV/atom

No. 10
The following is a DFT calculation (PBE-GGA) of an optimized crystal structure of Rb2HgHI.

Cell and atoms, written as CIF:
```
data_Rb2HgHI
_space_group_name_H-M_alt 'P 4/m m m'
_space_group_IT_number 123
_space_group_name_Hall '-P 4 2'
_cell_length_a 5.751
_cell_length_b 5.751
_cell_length_c 5.434
_cell_angle_alpha 90.00
_cell_angle_beta 90.00
_cell_angle_gamma 90.00
loop_
_atom_site_label
_atom_site_type_symbol
_atom_site_fract_x
_atom_site_fract_y
_atom_site_fract_z
Rb1 Rb 0.000 0.500 0.000
Hg1 Hg 0.000 0.000 0.500
H1 H 0.000 0.000 0.000
I1 I 0.500 0.500 0.500
```

## Properties
**Energy above the most stable polymorph in this dataset**: 0.000 eV/atom
**Crystal system**: tetragonal
**Calculated volume**: 35.9 Å³ per atom
**DOS(E_F)**: 0.0082 states/eV/atom

No. 11
The following is a DFT calculation (PBE-GGA) of an optimized crystal structure of Rb2HgHI6.

Cell and atoms, written as CIF:
```
data_Rb2HgHI6
_space_group_name_H-M_alt 'I 4/m m m'
_space_group_IT_number 139
_space_group_name_Hall '-I 4 2'
_cell_length_a 8.900
_cell_length_b 8.900
_cell_length_c 10.687
_cell_angle_alpha 90.00
_cell_angle_beta 90.00
_cell_angle_gamma 90.00
loop_
_atom_site_label
_atom_site_type_symbol
_atom_site_fract_x
_atom_site_fract_y
_atom_site_fract_z
Rb1 Rb 0.000 0.500 0.250
Hg1 Hg 0.000 0.000 0.000
H1 H 0.000 0.000 0.500
I1 I 0.000 0.000 0.322
I2 I 0.228 0.228 0.000
```

## Properties
**Crystal system**: tetragonal
**VASP energy**: -41.64 eV for the cell shown
**Calculated volume**: 42.3 Å³ per atom
**DOS(E_F)**: 0.6577 states/eV/atom

No. 12
The following is a DFT calculation (PBE-GGA) of an optimized crystal structure of ReHg2HI.

Cell and atoms, written as CIF:
```
data_ReHg2HI
_space_group_name_H-M_alt 'P 4/m m m'
_space_group_IT_number 123
_space_group_name_Hall '-P 4 2'
_cell_length_a 5.600
_cell_length_b 5.600
_cell_length_c 3.778
_cell_angle_alpha 90.00
_cell_angle_beta 90.00
_cell_angle_gamma 90.00
loop_
_atom_site_label
_atom_site_type_symbol
_atom_site_fract_x
_atom_site_fract_y
_atom_site_fract_z
Re1 Re 0.000 0.000 0.000
Hg1 Hg 0.000 0.500 0.000
H1 H 0.000 0.000 0.500
I1 I 0.500 0.500 0.500
```

## Properties
**Crystal system**: tetragonal
**VASP energy**: -13.86 eV for the cell shown
**Calculated volume**: 23.7 Å³ per atom
**DOS(E_F)**: 0.3654 states/eV/atom